[1]
# NaTlPdPt, optimized geometry, DFT PBE-GGA
data_NaTlPdPt
_chemical_formula_sum 'Na4 Tl4 Pd4 Pt4'
_space_group_name_H-M_alt 'F -4 3 m'
_space_group_IT_number 216
_space_group_name_Hall 'F -4 2 3'
_cell_length_a 6.6407
_cell_length_b 6.6407
_cell_length_c 6.6407
_cell_angle_alpha 90.00
_cell_angle_beta 90.00
_cell_angle_gamma 90.00
loop_
_atom_site_label
_atom_site_type_symbol
_atom_site_fract_x
_atom_site_fract_y
_atom_site_fract_z
Na1 Na 0.0000 0.0000 0.0000
Tl1 Tl 0.0000 0.0000 0.5000
Pd1 Pd 0.2500 0.2500 0.7500
Pt1 Pt 0.2500 0.2500 0.2500
# Formation enthalpy at 0 K, eV per atom: -0.11
# M_tot, μB per formula unit: 0.00


[2]
# AuSe6Cl2, optimized geometry, DFT PBE-GGA
data_AuSe6Cl2
_chemical_formula_sum 'Au4 Se24 Cl8'
_space_group_name_H-M_alt 'C 1 2/c 1'
_space_group_IT_number 15
_cell_length_a 14.6325
_cell_length_b 11.8943
_cell_length_c 6.3561
_cell_angle_alpha 90.00
_cell_angle_beta 90.99
_cell_angle_gamma 90.00
loop_
_space_group_symop_operation_xyz
'x,y,z'
'-x,-y,-z'
'-x,y,-z+1/2'
'x,-y,z+1/2'
'x+1/2,y+1/2,z'
'-x+1/2,-y+1/2,-z'
'-x+1/2,y+1/2,-z+1/2'
'x+1/2,-y+1/2,z+1/2'
loop_
_atom_site_label
_atom_site_type_symbol
_atom_site_fract_x
_atom_site_fract_y
_atom_site_fract_z
Au1 Au 0.0000 0.0753 0.2500
Se1 Se 0.0035 0.2881 0.5717
Se2 Se 0.1677 0.0769 0.2551
Se3 Se 0.2021 0.1729 0.5693
Cl1 Cl 0.1108 0.4005 0.0525
# Uncorrected formation energy, eV/atom: -0.01
# M_tot, μB per formula unit: 0.00


[3]
# ZrMn2Os, optimized geometry, DFT PBE-GGA
data_ZrMn2Os
_chemical_formula_sum 'Zr2 Mn4 Os2'
_space_group_name_H-M_alt 'I m m m'
_space_group_IT_number 71
_space_group_name_Hall '-I 2 2'
_cell_length_a 3.1565
_cell_length_b 4.4806
_cell_length_c 9.0846
_cell_angle_alpha 90.00
_cell_angle_beta 90.00
_cell_angle_gamma 90.00
loop_
_atom_site_label
_atom_site_type_symbol
_atom_site_fract_x
_atom_site_fract_y
_atom_site_fract_z
Zr1 Zr 0.0000 0.0000 0.0000
Mn1 Mn 0.0000 0.5000 0.2305
Os1 Os 0.0000 0.0000 0.5000
# Energy above the lowest structure with this stoichiometry, meV/atom: 82.1
# Formation enthalpy at 0 K, eV per atom: 0.08
# M_tot, μB per formula unit: 6.16


[4]
# Ba3Au2, optimized geometry, DFT PBE-GGA
data_Ba3Au2
_chemical_formula_sum 'Ba3 Au2'
_space_group_name_H-M_alt 'P -3 m 1'
_space_group_IT_number 164
_space_group_name_Hall '-P 3 2"'
_cell_length_a 5.6900
_cell_length_b 5.6900
_cell_length_c 6.9875
_cell_angle_alpha 90.00
_cell_angle_beta 90.00
_cell_angle_gamma 120.00
loop_
_atom_site_label
_atom_site_type_symbol
_atom_site_fract_x
_atom_site_fract_y
_atom_site_fract_z
Ba1 Ba 0.0000 0.0000 0.0000
Ba2 Ba 0.3333 0.6667 0.3242
Au1 Au 0.3333 0.6667 0.8150
# Energy above the lowest structure with this stoichiometry, meV/atom: 30.5
# Formation enthalpy at 0 K, eV per atom: -0.57
# M_tot, μB per formula unit: 0.00


[5]
# Cs2Np3HgS8, optimized geometry, DFT PBE-GGA
data_Cs2Np3HgS8
_chemical_formula_sum 'Cs6 Np9 Hg3 S24'
_space_group_name_H-M_alt 'R 3 m'
_space_group_IT_number 160
_space_group_name_Hall 'R 3 -2"'
_cell_length_a 8.0335
_cell_length_b 8.0335
_cell_length_c 25.6514
_cell_angle_alpha 90.00
_cell_angle_beta 90.00
_cell_angle_gamma 120.00
loop_
_atom_site_label
_atom_site_type_symbol
_atom_site_fract_x
_atom_site_fract_y
_atom_site_fract_z
Cs1 Cs 0.0000 0.0000 0.0000
Cs2 Cs 0.0000 0.0000 0.3596
Np1 Np 0.1674 0.3347 0.1919
Hg1 Hg 0.0000 0.0000 0.7214
S1 S 0.0000 0.0000 0.1373
S2 S 0.0000 0.0000 0.5793
S3 S 0.0302 0.5151 0.1387
S4 S 0.1833 0.3667 0.9125
# Uncorrected formation energy, eV/atom: -1.11
# M_tot, μB per formula unit: 7.00


[6]
# Er2Al3Tc, optimized geometry, DFT PBE-GGA
data_Er2Al3Tc
_chemical_formula_sum 'Er6 Al9 Tc3'
_space_group_name_H-M_alt 'R -3 m'
_space_group_IT_number 166
_space_group_name_Hall '-R 3 2"'
_cell_length_a 5.4945
_cell_length_b 5.4945
_cell_length_c 13.2192
_cell_angle_alpha 90.00
_cell_angle_beta 90.00
_cell_angle_gamma 120.00
loop_
_atom_site_label
_atom_site_type_symbol
_atom_site_fract_x
_atom_site_fract_y
_atom_site_fract_z
Er1 Er 0.0000 0.0000 0.1280
Al1 Al 0.0000 0.5000 0.0000
Tc1 Tc 0.0000 0.0000 0.5000
# Energy above the lowest structure with this stoichiometry, meV/atom: 31.1
# Formation enthalpy at 0 K, eV per atom: -0.50
# M_tot, μB per formula unit: 0.00